# 1
Sc2ZnFe | GGA-PBE | optimized geometry

POSCAR file:
```
Sc2ZnFe
1.0
3.109 0.000 0.000
-1.555 2.693 0.000
0.000 0.000 26.877
Sc Zn Fe
6 3 3
Cartesian
0.000 0.000 0.000 Sc
0.000 0.000 6.193 Sc
0.000 1.795 17.918 Sc
0.000 1.795 24.112 Sc
1.555 0.898 8.959 Sc
1.555 0.898 15.153 Sc
0.000 0.000 20.211 Zn
0.000 1.795 11.252 Zn
1.555 0.898 2.293 Zn
0.000 0.000 13.102 Fe
0.000 1.795 4.143 Fe
1.555 0.898 22.061 Fe
```

Computed properties:
- magnetic moment (μB/atom) = 0.6394
- formation energy (eV/atom) = 0.1611
- space-group type = R3m (160)
- total energy (eV/atom) = -5.44

# 2
Ba2Cd4In3Au | GGA-PBE | optimized geometry

POSCAR file:
```
Ba2Cd4In3Au
1.0
5.041 0.000 0.000
0.000 5.041 0.000
0.000 0.000 11.502
Ba Cd In Au
2 4 3 1
Cartesian
0.000 2.520 2.799 Ba
2.520 0.000 8.703 Ba
0.000 0.000 5.751 Cd
0.000 2.520 10.124 Cd
2.520 0.000 1.378 Cd
2.520 2.520 5.751 Cd
0.000 0.000 0.000 In
0.000 2.520 7.290 In
2.520 0.000 4.212 In
2.520 2.520 0.000 Au
```

Computed properties:
- magnetic moment (μB/atom) = 0.0000
- formation energy (eV/atom) = -0.3379
- space-group type = P-4m2 (115)
- total energy (eV/atom) = -2.24

# 3
EuEr2Ti | GGA-PBE | optimized geometry

POSCAR file:
```
EuEr2Ti
1.0
3.422 0.000 0.000
-1.711 2.964 0.000
0.000 0.000 33.595
Eu Er Ti
3 6 3
Cartesian
0.000 0.000 0.000 Eu
0.000 1.976 22.397 Eu
1.711 0.988 11.198 Eu
0.000 0.000 8.027 Er
0.000 0.000 25.568 Er
0.000 1.976 14.369 Er
0.000 1.976 30.424 Er
1.711 0.988 3.171 Er
1.711 0.988 19.226 Er
0.000 0.000 16.798 Ti
0.000 1.976 5.599 Ti
1.711 0.988 27.996 Ti
```

Computed properties:
- magnetic moment (μB/atom) = 1.9281
- formation energy (eV/atom) = 0.2338
- space-group type = R-3m (166)
- total energy (eV/atom) = -6.59
- E above lowest polymorph (meV per atom) = 62

# 4
CaEuMgIr | GGA-PBE | optimized geometry

POSCAR file:
```
CaEuMgIr
1.0
7.258 0.000 0.000
0.000 7.258 0.000
0.000 0.000 7.258
Ca Eu Mg Ir
4 4 4 4
Cartesian
0.000 0.000 0.000 Ca
0.000 3.629 3.629 Ca
3.629 0.000 3.629 Ca
3.629 3.629 0.000 Ca
0.000 0.000 3.629 Eu
0.000 3.629 0.000 Eu
3.629 0.000 0.000 Eu
3.629 3.629 3.629 Eu
1.814 1.814 5.443 Mg
1.814 5.443 1.814 Mg
5.443 1.814 1.814 Mg
5.443 5.443 5.443 Mg
1.814 1.814 1.814 Ir
1.814 5.443 5.443 Ir
5.443 1.814 5.443 Ir
5.443 5.443 1.814 Ir
```

Computed properties:
- magnetic moment (μB/atom) = 1.7445
- formation energy (eV/atom) = -0.1441
- space-group type = F-43m (216)
- total energy (eV/atom) = -5.83

# 5
Sr2Cd2Hg15 | GGA-PBE | optimized geometry

POSCAR file:
```
Sr2Cd2Hg15
1.0
4.935 2.849 6.240
-4.935 2.849 6.240
0.000 -5.699 6.240
Sr Cd Hg
2 2 15
Cartesian
0.000 0.000 3.892 Sr
0.000 0.000 14.828 Sr
0.000 0.000 7.570 Cd
0.000 0.000 11.149 Cd
-2.468 -1.425 6.240 Hg
0.000 -3.373 5.323 Hg
-2.921 1.687 5.323 Hg
-1.459 -2.527 9.360 Hg
-2.918 0.000 9.360 Hg
-2.921 -1.687 13.396 Hg
-2.468 1.425 12.480 Hg
1.459 -2.527 9.360 Hg
0.000 2.849 6.240 Hg
-1.459 2.527 9.360 Hg
2.921 1.687 5.323 Hg
2.918 0.000 9.360 Hg
1.459 2.527 9.360 Hg
2.921 -1.687 13.396 Hg
0.000 3.373 13.396 Hg
```

Computed properties:
- magnetic moment (μB/atom) = 0.0000
- formation energy (eV/atom) = -0.1515
- space-group type = R-3m (166)
- total energy (eV/atom) = -0.66

# 6
Sr2Sb3PdPt4 | GGA-PBE | optimized geometry

POSCAR file:
```
Sr2Sb3PdPt4
1.0
4.614 0.000 0.000
0.000 4.614 0.000
0.000 0.000 10.739
Sr Sb Pd Pt
2 3 1 4
Cartesian
0.000 2.307 2.594 Sr
2.307 0.000 8.145 Sr
0.000 0.000 0.000 Sb
0.000 2.307 6.745 Sb
2.307 0.000 3.994 Sb
2.307 2.307 0.000 Pd
0.000 0.000 5.369 Pt
0.000 2.307 9.326 Pt
2.307 0.000 1.412 Pt
2.307 2.307 5.369 Pt
```

Computed properties:
- ΔE_f (raw) (meV per atom) = -731.5
- magnetic moment (μB/atom) = 0.0000
- space-group type = P-4m2 (115)
- total energy (eV/atom) = -5.24

# 7
TiTcBr2 | GGA-PBE | optimized geometry

POSCAR file:
```
TiTcBr2
1.0
6.460 0.000 0.000
0.000 6.460 0.000
0.000 0.000 6.460
Ti Tc Br
4 4 8
Cartesian
0.000 0.000 0.000 Ti
0.000 3.230 3.230 Ti
3.230 0.000 3.230 Ti
3.230 3.230 0.000 Ti
0.000 0.000 3.230 Tc
0.000 3.230 0.000 Tc
3.230 0.000 0.000 Tc
3.230 3.230 3.230 Tc
1.615 1.615 1.615 Br
1.615 1.615 4.845 Br
1.615 4.845 1.615 Br
1.615 4.845 4.845 Br
4.845 1.615 1.615 Br
4.845 1.615 4.845 Br
4.845 4.845 1.615 Br
4.845 4.845 4.845 Br
```

Computed properties:
- ΔE_f (raw) (meV per atom) = 488.7
- magnetic moment (μB/atom) = 0.0001
- space-group type = Fm-3m (225)
- total energy (eV/atom) = -4.91
- E above lowest polymorph (meV per atom) = 318

# 8
CaMg2Ag5 | GGA-PBE | optimized geometry

POSCAR file:
```
CaMg2Ag5
1.0
4.212 0.000 0.000
0.000 6.289 0.000
0.000 0.000 13.187
Ca Mg Ag
2 4 10
Cartesian
0.000 0.000 0.000 Ca
2.106 3.144 6.594 Ca
0.000 3.144 2.940 Mg
0.000 3.144 10.247 Mg
2.106 0.000 3.654 Mg
2.106 0.000 9.534 Mg
0.000 1.429 5.093 Ag
0.000 1.429 8.095 Ag
0.000 3.144 0.000 Ag
0.000 4.860 5.093 Ag
0.000 4.860 8.095 Ag
2.106 0.000 6.594 Ag
2.106 1.716 1.501 Ag
2.106 1.716 11.686 Ag
2.106 4.573 1.501 Ag
2.106 4.573 11.686 Ag
```

Computed properties:
- magnetic moment (μB/atom) = 0.0000
- formation energy (eV/atom) = -0.1159
- space-group type = Immm (71)
- total energy (eV/atom) = -2.55

# 9
KBaPO4 | GGA-PBE | optimized geometry

POSCAR file:
```
KBaPO4
1.0
7.836 0.000 0.000
0.000 5.737 0.000
0.000 0.000 10.148
K Ba P O
4 4 4 16
Cartesian
1.261 1.434 0.836 K
2.657 4.302 5.910 K
5.179 1.434 4.239 K
6.575 4.302 9.313 K
0.047 4.302 3.110 Ba
3.871 1.434 8.184 Ba
3.964 4.302 1.965 Ba
7.789 1.434 7.039 Ba
1.835 1.434 4.231 P
2.083 4.302 9.306 P
5.753 1.434 0.843 P
6.001 4.302 5.917 P
0.273 1.434 4.240 O
1.543 4.302 0.629 O
1.576 3.021 8.576 O
1.576 5.583 8.576 O
2.341 0.153 3.501 O
2.341 2.715 3.501 O
2.375 1.434 5.703 O
3.645 4.302 9.314 O
4.191 1.434 0.834 O
5.461 4.302 4.445 O
5.494 3.021 6.647 O
5.494 5.583 6.647 O
6.259 0.153 1.573 O
6.259 2.715 1.573 O
6.293 1.434 9.519 O
7.563 4.302 5.908 O
```

Computed properties:
- ΔE_f (raw) (meV per atom) = -2645.4
- magnetic moment (μB/atom) = 0.0000
- space-group type = Pnma (62)
- total energy (eV/atom) = -6.68
- E above lowest polymorph (meV per atom) = 0

# 10
HfHgS2Cl | GGA-PBE | optimized geometry

POSCAR file:
```
HfHgS2Cl
1.0
4.972 0.000 0.000
0.000 4.972 0.000
0.000 0.000 5.035
Hf Hg S Cl
1 1 2 1
Cartesian
0.000 0.000 0.000 Hf
2.486 2.486 2.518 Hg
0.000 2.486 0.000 S
2.486 0.000 0.000 S
0.000 0.000 2.518 Cl
```

Computed properties:
- ΔE_f (raw) (meV per atom) = -811.9
- magnetic moment (μB/atom) = 0.0000
- space-group type = P4/mmm (123)
- total energy (eV/atom) = -4.88
- E above lowest polymorph (meV per atom) = 0

# 11
LuPuPb2 | GGA-PBE | optimized geometry

POSCAR file:
```
LuPuPb2
1.0
4.941 0.000 0.000
0.000 4.941 0.000
0.000 0.000 4.523
Lu Pu Pb
1 1 2
Cartesian
0.000 0.000 0.000 Lu
2.471 2.471 0.000 Pu
0.000 2.471 2.261 Pb
2.471 0.000 2.261 Pb
```

Computed properties:
- magnetic moment (μB/atom) = 1.5877
- formation energy (eV/atom) = -0.2288
- space-group type = P4/mmm (123)
- total energy (eV/atom) = -6.80

# 12
TePd4Pb3 | GGA-PBE | optimized geometry

POSCAR file:
```
TePd4Pb3
1.0
5.862 0.000 0.000
0.000 10.122 0.000
0.000 0.000 6.077
Te Pd Pb
2 8 6
Cartesian
0.000 0.000 0.000 Te
2.931 5.061 3.038 Te
0.000 2.707 5.942 Pd
0.000 7.415 5.942 Pd
1.402 5.061 0.876 Pd
1.530 0.000 3.914 Pd
2.931 2.354 2.903 Pd
2.931 7.768 2.903 Pd
4.333 0.000 3.914 Pd
4.461 5.061 0.876 Pd
0.000 2.199 2.756 Pb
0.000 5.061 4.383 Pb
0.000 7.923 2.756 Pb
2.931 0.000 1.345 Pb
2.931 2.862 5.794 Pb
2.931 7.260 5.794 Pb
```

Computed properties:
- ΔE_f (raw) (meV per atom) = -193.1
- magnetic moment (μB/atom) = 0.0000
- space-group type = Imm2 (44)
- total energy (eV/atom) = -4.57